(1)
Material: AgPtC2O6
Method: DFT, GGA-PBE
State: optimized geometry

Structure (CIF):
```
data_AgPtC2O6
_cell_length_a 6.407
_cell_length_b 6.407
_cell_length_c 6.407
_cell_angle_alpha 44.78
_cell_angle_beta 44.78
_cell_angle_gamma 44.78
_symmetry_space_group_name_H-M 'P 1'
_symmetry_Int_Tables_number 1
_symmetry_space_group_name_Hall 'P 1'
loop_
_atom_site_label
_atom_site_type_symbol
_atom_site_fract_x
_atom_site_fract_y
_atom_site_fract_z
Ag1 Ag 0.000 0.000 0.000
Pt1 Pt 0.500 0.500 0.500
C1 C 0.236 0.236 0.236
C2 C 0.764 0.764 0.764
O1 O 0.036 0.745 0.504
O2 O 0.255 0.496 0.964
O3 O 0.496 0.964 0.255
O4 O 0.504 0.036 0.745
O5 O 0.745 0.504 0.036
O6 O 0.964 0.255 0.496
```

Computed properties:
* N(E_F): 0.5029 states/eV/atom
* raw total energy: -64.89 eV/f.u.
* calculated volume: 11.87 Å³/atom

=====

(2)
Material: Cs3Cd2Hg2
Method: DFT, GGA-PBE
State: optimized geometry

Structure (CIF):
```
data_Cs3Cd2Hg2
_cell_length_a 13.989
_cell_length_b 5.383
_cell_length_c 9.968
_cell_angle_alpha 90.00
_cell_angle_beta 114.72
_cell_angle_gamma 90.00
_symmetry_space_group_name_H-M 'P 1'
_symmetry_Int_Tables_number 1
_symmetry_space_group_name_Hall 'P 1'
loop_
_atom_site_label
_atom_site_type_symbol
_atom_site_fract_x
_atom_site_fract_y
_atom_site_fract_z
Cs1 Cs 0.000 0.000 0.000
Cs2 Cs 0.187 0.000 0.632
Cs3 Cs 0.313 0.500 0.368
Cs4 Cs 0.500 0.500 0.000
Cs5 Cs 0.687 0.500 0.632
Cs6 Cs 0.813 0.000 0.368
Cd1 Cd 0.202 0.500 0.940
Cd2 Cd 0.298 0.000 0.060
Cd3 Cd 0.702 0.000 0.940
Cd4 Cd 0.798 0.500 0.060
Hg1 Hg 0.007 0.500 0.340
Hg2 Hg 0.493 0.000 0.660
Hg3 Hg 0.507 0.000 0.340
Hg4 Hg 0.993 0.500 0.660
```

Computed properties:
* N(E_F): 0.6471 states/eV/atom
* calculated volume: 48.70 Å³/atom
* calculated formation energy: -0.150 eV per atom

=====

(3)
Material: AcPrNdAg
Method: DFT, GGA-PBE
State: optimized geometry

Structure (CIF):
```
data_AcPrNdAg
_cell_length_a 8.054
_cell_length_b 8.054
_cell_length_c 8.054
_cell_angle_alpha 90.00
_cell_angle_beta 90.00
_cell_angle_gamma 90.00
_symmetry_space_group_name_H-M 'P 1'
_symmetry_Int_Tables_number 1
_symmetry_space_group_name_Hall 'P 1'
loop_
_atom_site_label
_atom_site_type_symbol
_atom_site_fract_x
_atom_site_fract_y
_atom_site_fract_z
Ac1 Ac 0.000 0.000 0.000
Ac2 Ac 0.000 0.500 0.500
Ac3 Ac 0.500 0.000 0.500
Ac4 Ac 0.500 0.500 0.000
Pr1 Pr 0.250 0.250 0.750
Pr2 Pr 0.250 0.750 0.250
Pr3 Pr 0.750 0.250 0.250
Pr4 Pr 0.750 0.750 0.750
Nd1 Nd 0.250 0.250 0.250
Nd2 Nd 0.250 0.750 0.750
Nd3 Nd 0.750 0.250 0.750
Nd4 Nd 0.750 0.750 0.250
Ag1 Ag 0.000 0.000 0.500
Ag2 Ag 0.000 0.500 0.000
Ag3 Ag 0.500 0.000 0.000
Ag4 Ag 0.500 0.500 0.500
```

Computed properties:
* N(E_F): 1.5953 states/eV/atom
* energy above the most stable polymorph in this dataset: 246 meV/atom
* calculated volume: 32.66 Å³/atom
* calculated formation energy: 0.144 eV per atom

=====

> Which value of calculated volume does entry 1 give?

11.87 Å³/atom